[1]
{
  "formula": "Pm2Y5ErTh",
  "functional": "GGA-PBE",
  "state": "relaxed",
  "sg": "I4/mcm (140)",
  "final_energy_ev_per_fu": -51.2,
  "cell": [[8.748, 0.000, 0.000], [0.000, 8.748, 0.000], [-4.374, -4.374, 7.702]],
  "species": ["Pm", "Pm", "Pm", "Pm", "Th", "Th", "Y", "Y", "Y", "Y", "Y", "Y", "Y", "Y", "Y", "Y", "Er", "Er"],
  "fractional_positions": [[0.385, 0.885, 0.000], [0.885, 0.615, 0.000], [0.115, 0.385, 0.000], [0.615, 0.115, 0.000], [0.250, 0.250, 0.500], [0.750, 0.750, 0.500], [0.000, 0.000, 0.000], [0.573, 0.649, 0.722], [0.500, 0.500, 0.000], [0.851, 0.927, 0.278], [0.927, 0.427, 0.278], [0.351, 0.851, 0.278], [0.649, 0.149, 0.722], [0.427, 0.351, 0.278], [0.073, 0.573, 0.722], [0.149, 0.073, 0.722], [0.250, 0.750, 0.500], [0.750, 0.250, 0.500]]
}

[2]
{
  "formula": "Pm3YErTh",
  "functional": "GGA-PBE",
  "state": "relaxed",
  "sg": "P2_1/m (11)",
  "final_energy_ev_per_fu": -32.5,
  "cell": [[-1.901, -4.424, 1.676], [7.020, -1.659, 3.585], [-7.326, 5.382, 5.893]],
  "species": ["Y", "Y", "Er", "Er", "Th", "Th", "Pm", "Pm", "Pm", "Pm", "Pm", "Pm"],
  "fractional_positions": [[0.250, 0.122, 0.293], [0.750, 0.878, 0.707], [0.750, 0.874, 0.372], [0.250, 0.126, 0.628], [0.750, 0.377, 0.877], [0.250, 0.623, 0.123], [0.750, 0.384, 0.206], [0.750, 0.371, 0.543], [0.250, 0.629, 0.457], [0.750, 0.867, 0.045], [0.250, 0.616, 0.794], [0.250, 0.133, 0.955]]
}

[3]
{
  "formula": "PmY6Er2Th",
  "functional": "GGA-PBE",
  "state": "relaxed",
  "sg": "C2/c (15)",
  "final_energy_ev_per_fu": -58.6,
  "cell": [[9.020, -1.917, -1.989], [0.900, 8.564, -1.898], [0.900, -2.214, 8.487]],
  "species": ["Y", "Y", "Y", "Y", "Y", "Y", "Y", "Y", "Y", "Y", "Y", "Y", "Pm", "Pm", "Th", "Th", "Er", "Er", "Er", "Er"],
  "fractional_positions": [[0.889, 0.293, 0.519], [0.611, 0.481, 0.707], [0.559, 0.765, 0.114], [0.941, 0.886, 0.235], [0.441, 0.235, 0.886], [0.111, 0.707, 0.481], [0.817, 0.430, 0.986], [0.183, 0.570, 0.014], [0.389, 0.519, 0.293], [0.059, 0.114, 0.765], [0.317, 0.986, 0.430], [0.683, 0.014, 0.570], [0.750, 0.590, 0.410], [0.250, 0.410, 0.590], [0.250, 0.966, 0.034], [0.750, 0.034, 0.966], [0.055, 0.298, 0.198], [0.445, 0.802, 0.702], [0.945, 0.702, 0.802], [0.555, 0.198, 0.298]]
}

[4]
{
  "formula": "PmErThZr",
  "functional": "GGA-PBE",
  "state": "relaxed",
  "sg": "F-43m (216)",
  "final_energy_ev_per_fu": -24.6,
  "cell": [[-4.406, -1.747, -2.788], [0.629, -2.436, -4.889], [-0.959, -5.388, -0.530]],
  "species": ["Er", "Zr", "Pm", "Th"],
  "fractional_positions": [[0.500, 0.500, 0.500], [0.000, 0.000, 0.000], [0.250, 0.250, 0.250], [0.750, 0.750, 0.750]]
}

[5]
{
  "formula": "PmEr2Ti",
  "functional": "GGA-PBE",
  "state": "relaxed",
  "de_polymorph_mev_per_atom": 0,
  "sg": "P4/mmm (123)",
  "final_energy_ev_per_fu": -21.2,
  "cell": [[3.374, 0.000, 0.000], [0.000, 3.374, 0.000], [0.000, 0.000, 9.751]],
  "species": ["Ti", "Er", "Er", "Pm"],
  "fractional_positions": [[0.500, 0.500, 0.000], [0.000, 0.000, 0.787], [0.000, 0.000, 0.213], [0.500, 0.500, 0.500]]
}

[6]
{
  "formula": "PmEr2Ti",
  "functional": "GGA-PBE",
  "state": "relaxed",
  "de_polymorph_mev_per_atom": 275,
  "sg": "R-3m (166)",
  "final_energy_ev_per_fu": -20.1,
  "cell": [[-1.816, -2.564, -1.175], [-0.395, -2.765, 1.857], [-10.396, 2.850, 5.059]],
  "species": ["Pm", "Ti", "Er", "Er"],
  "fractional_positions": [[0.500, 0.500, 0.500], [0.000, 0.000, 0.000], [0.917, 0.917, 0.248], [0.083, 0.083, 0.752]]
}

In the order shown, the computed calculated formation energy values come out to 2.6 0.2 1.5 0.7 0.6 1.7 eV per formula unit.